A relaxed Tb3YRh4 crystal, computed with PBE.

abc: 4.901 4.901 6.777
angles: 90.00 90.00 90.00
Sites, in units of the cell vectors:
1 Tb 0.000 0.000 0.000
2 Tb 0.000 0.000 0.500
3 Tb 0.500 0.500 0.000
4 Y 0.500 0.500 0.500
5 Rh 0.000 0.500 0.249
6 Rh 0.000 0.500 0.751
7 Rh 0.500 0.000 0.249
8 Rh 0.500 0.000 0.751

Properties
- SG = P4/mmm, No. 123
- DFT formation energy (meV/atom) = -842.6